A relaxed BeReTe2 crystal, computed with PBE. Values from VASP.

The structure in Quantum ESPRESSO input format:
```
&SYSTEM
  ibrav = 0, nat = 4, ntyp = 3
/
ATOMIC_SPECIES
Be 9.01 Be.upf
Re 186.21 Re.upf
Te 127.60 Te.upf
ATOMIC_POSITIONS crystal
Be 0.0000 0.0000 0.0000
Re 0.2500 0.7500 0.5000
Te 0.5000 0.5000 0.0000
Te 0.7500 0.2500 0.5000
CELL_PARAMETERS angstrom
-2.0700 2.0700 4.3858
2.0700 -2.0700 4.3858
2.0700 2.0700 -4.3858
```

Computed properties:
- DOS(E_F): 4.06 states/eV per cell
- Space group: No. 119
- Uncorrected formation energy: 1.10 eV/atom
- Raw total energy: -4.510 eV per atom

A relaxed BeReTe2 crystal, computed with PBE. Values from VASP.

The structure in Quantum ESPRESSO input format:
```
&SYSTEM
  ibrav = 0, nat = 4, ntyp = 3
/
ATOMIC_SPECIES
Be 9.01 Be.upf
Re 186.21 Re.upf
Te 127.60 Te.upf
ATOMIC_POSITIONS crystal
Be 0.0000 0.0000 0.0000
Re 0.0000 0.0000 0.5000
Te 0.5000 0.5000 0.2335
Te 0.5000 0.5000 0.7665
CELL_PARAMETERS angstrom
1.6839 -2.9360 0.0000
1.6839 2.9360 0.0000
0.0000 0.0000 8.0142
```

Computed properties:
- DOS(E_F): 2.79 states/eV per cell
- Space group: No. 65
- Uncorrected formation energy: 1.01 eV/atom
- Raw total energy: -4.609 eV per atom

A relaxed BeRe2Te crystal, computed with PBE. Values from VASP.

The structure in Quantum ESPRESSO input format:
```
&SYSTEM
  ibrav = 0, nat = 4, ntyp = 3
/
ATOMIC_SPECIES
Be 9.01 Be.upf
Re 186.21 Re.upf
Te 127.60 Te.upf
ATOMIC_POSITIONS crystal
Be 0.0000 0.0000 0.0000
Re 0.0000 0.5000 0.5000
Re 0.5000 0.5000 0.0000
Te 0.5000 0.0000 0.5000
CELL_PARAMETERS angstrom
3.2549 0.0000 0.0000
0.0000 4.3846 0.0000
0.0000 0.0000 4.4225
```

Computed properties:
- DOS(E_F): 2.56 states/eV per cell
- Space group: No. 47
- Uncorrected formation energy: 0.91 eV/atom
- Raw total energy: -7.030 eV per atom

A relaxed BeReTe2 crystal, computed with PBE. Values from VASP.

The structure in Quantum ESPRESSO input format:
```
&SYSTEM
  ibrav = 0, nat = 4, ntyp = 3
/
ATOMIC_SPECIES
Be 9.01 Be.upf
Re 186.21 Re.upf
Te 127.60 Te.upf
ATOMIC_POSITIONS crystal
Be 0.0000 0.0000 0.0000
Re 0.0000 0.0000 0.5000
Te 0.5000 0.5000 0.2552
Te 0.5000 0.5000 0.7448
CELL_PARAMETERS angstrom
3.2505 0.0000 0.0000
0.0000 3.2505 0.0000
0.0000 0.0000 7.0127
```

Computed properties:
- DOS(E_F): 3.37 states/eV per cell
- Space group: No. 123
- Uncorrected formation energy: 0.77 eV/atom
- Raw total energy: -4.849 eV per atom

A relaxed BeRe2Te crystal, computed with PBE. Values from VASP.

The structure in Quantum ESPRESSO input format:
```
&SYSTEM
  ibrav = 0, nat = 4, ntyp = 3
/
ATOMIC_SPECIES
Be 9.01 Be.upf
Re 186.21 Re.upf
Te 127.60 Te.upf
ATOMIC_POSITIONS crystal
Be 0.0000 0.0000 0.0000
Re 0.2759 0.2759 0.2759
Re 0.7241 0.7241 0.7241
Te 0.5000 0.5000 0.5000
CELL_PARAMETERS angstrom
1.6487 0.9519 6.5805
-1.6487 0.9519 6.5805
0.0000 -1.9037 6.5805
```

Computed properties:
- DOS(E_F): 2.38 states/eV per cell
- Space group: No. 166
- Uncorrected formation energy: 0.58 eV/atom
- Raw total energy: -7.359 eV per atom

A relaxed BeRe2Te crystal, computed with PBE. Values from VASP.

The structure in Quantum ESPRESSO input format:
```
&SYSTEM
  ibrav = 0, nat = 4, ntyp = 3
/
ATOMIC_SPECIES
Be 9.01 Be.upf
Re 186.21 Re.upf
Te 127.60 Te.upf
ATOMIC_POSITIONS crystal
Be 0.0000 0.0000 0.0000
Re 0.1607 0.5000 0.7964
Re 0.8393 0.5000 0.2036
Te 0.5000 0.0000 0.5000
CELL_PARAMETERS angstrom
3.0797 0.0000 0.0000
0.0000 3.8353 0.0000
-1.5326 0.0000 5.2545
```

Computed properties:
- DOS(E_F): 3.24 states/eV per cell
- Space group: No. 10
- Uncorrected formation energy: 0.63 eV/atom
- Raw total energy: -7.314 eV per atom

A relaxed BeReTe2 crystal, computed with PBE. Values from VASP.

The structure in Quantum ESPRESSO input format:
```
&SYSTEM
  ibrav = 0, nat = 4, ntyp = 3
/
ATOMIC_SPECIES
Be 9.01 Be.upf
Re 186.21 Re.upf
Te 127.60 Te.upf
ATOMIC_POSITIONS crystal
Be 0.0000 0.0000 0.0000
Re 0.1567 0.6567 0.5000
Te 0.3343 0.3343 0.0000
Te 0.6007 0.1007 0.5000
CELL_PARAMETERS angstrom
-1.5917 2.2136 6.2250
1.5917 -2.2136 6.2250
1.5917 2.2136 -6.2250
```

Computed properties:
- DOS(E_F): 2.95 states/eV per cell
- Space group: No. 44
- Uncorrected formation energy: 0.70 eV/atom
- Raw total energy: -4.913 eV per atom

A relaxed BeRe2Te crystal, computed with PBE. Values from VASP.

The structure in Quantum ESPRESSO input format:
```
&SYSTEM
  ibrav = 0, nat = 4, ntyp = 3
/
ATOMIC_SPECIES
Be 9.01 Be.upf
Re 186.21 Re.upf
Te 127.60 Te.upf
ATOMIC_POSITIONS crystal
Be 0.0000 0.0000 0.0000
Re 0.0000 0.5000 0.5000
Re 0.5000 0.0000 0.5000
Te 0.5000 0.5000 0.0000
CELL_PARAMETERS angstrom
2.7714 -4.3128 0.0000
2.7714 4.3128 0.0000
-1.4163 0.0000 2.6532
```

Computed properties:
- DOS(E_F): 2.86 states/eV per cell
- Space group: No. 12
- Uncorrected formation energy: 0.93 eV/atom
- Raw total energy: -7.016 eV per atom

A relaxed Be4ReTe crystal, computed with PBE. Values from VASP.

The structure in Quantum ESPRESSO input format:
```
&SYSTEM
  ibrav = 0, nat = 6, ntyp = 3
/
ATOMIC_SPECIES
Be 9.01 Be.upf
Re 186.21 Re.upf
Te 127.60 Te.upf
ATOMIC_POSITIONS crystal
Be 0.1213 0.1213 0.1213
Be 0.1213 0.1213 0.6360
Be 0.1213 0.6360 0.1213
Be 0.6360 0.1213 0.1213
Re 0.7500 0.7500 0.7500
Te 0.5000 0.5000 0.5000
CELL_PARAMETERS angstrom
0.0000 3.2397 3.2397
3.2397 0.0000 3.2397
3.2397 3.2397 0.0000
```

Computed properties:
- DOS(E_F): 1.46 states/eV per cell
- Space group: No. 216
- Uncorrected formation energy: 0.16 eV/atom
- Raw total energy: -4.924 eV per atom

A relaxed BeRe2Te crystal, computed with PBE. Values from VASP.

The structure in Quantum ESPRESSO input format:
```
&SYSTEM
  ibrav = 0, nat = 4, ntyp = 3
/
ATOMIC_SPECIES
Be 9.01 Be.upf
Re 186.21 Re.upf
Te 127.60 Te.upf
ATOMIC_POSITIONS crystal
Be 0.0000 0.0000 0.0000
Re 0.2768 0.2768 0.7872
Re 0.7232 0.7232 0.2128
Te 0.5000 0.5000 0.5000
CELL_PARAMETERS angstrom
4.2804 -1.4992 0.0000
4.2804 1.4992 0.0000
-1.2430 0.0000 4.7377
```

Computed properties:
- DOS(E_F): 2.21 states/eV per cell
- Space group: No. 12
- Uncorrected formation energy: 0.57 eV/atom
- Raw total energy: -7.373 eV per atom

A relaxed BeReTe2 crystal, computed with PBE. Values from VASP.

The structure in Quantum ESPRESSO input format:
```
&SYSTEM
  ibrav = 0, nat = 4, ntyp = 3
/
ATOMIC_SPECIES
Be 9.01 Be.upf
Re 186.21 Re.upf
Te 127.60 Te.upf
ATOMIC_POSITIONS crystal
Be 0.0000 0.0000 0.0000
Re 0.5000 0.5000 0.1314
Te 0.0000 0.0000 0.3342
Te 0.5000 0.5000 0.7914
CELL_PARAMETERS angstrom
3.2235 0.0000 0.0000
0.0000 3.2235 0.0000
0.0000 0.0000 8.0067
```

Computed properties:
- DOS(E_F): 1.10 states/eV per cell
- Space group: No. 99
- Uncorrected formation energy: 0.19 eV/atom
- Raw total energy: -5.427 eV per atom

A relaxed BeReTe2 crystal, computed with PBE. Values from VASP.

The structure in Quantum ESPRESSO input format:
```
&SYSTEM
  ibrav = 0, nat = 4, ntyp = 3
/
ATOMIC_SPECIES
Be 9.01 Be.upf
Re 186.21 Re.upf
Te 127.60 Te.upf
ATOMIC_POSITIONS crystal
Be 0.0000 0.0000 0.0000
Re 0.2819 0.2819 0.9419
Te 0.5485 0.5485 0.7102
Te 0.7787 0.7787 0.2401
CELL_PARAMETERS angstrom
4.0066 -1.6983 0.0000
4.0066 1.6983 0.0000
-1.0288 0.0000 6.6466
```

Computed properties:
- DOS(E_F): 2.96 states/eV per cell
- Space group: No. 8
- Uncorrected formation energy: 0.22 eV/atom
- Raw total energy: -5.395 eV per atom